Entry 1:
La3AlZn2 after structural relaxation. Source: Alexandria, functional PBE-GGA.

a b c (Å): 5.3379 5.3379 13.0820
angles (deg): 90.00 90.00 120.00
Positions (direct):
La 0.0000 0.0000 0.2487
La 0.0000 0.0000 0.7513
La 0.3333 0.6667 0.4177
La 0.3333 0.6667 0.9191
La 0.6667 0.3333 0.0809
La 0.6667 0.3333 0.5823
Al 0.3333 0.6667 0.6682
Al 0.6667 0.3333 0.3318
Zn 0.0000 0.0000 0.0000
Zn 0.0000 0.0000 0.5000
Zn 0.3333 0.6667 0.1685
Zn 0.6667 0.3333 0.8315

=====

Entry 2:
LaAlZn after structural relaxation. Source: Alexandria, functional PBE-GGA.

a b c (Å): 4.3555 4.3555 7.4735
angles (deg): 90.00 90.00 90.00
Positions (direct):
La 0.2500 0.2500 0.1725
La 0.7500 0.7500 0.8275
Al 0.2500 0.7500 0.5000
Al 0.7500 0.2500 0.5000
Zn 0.2500 0.2500 0.7133
Zn 0.7500 0.7500 0.2867

=====

Entry 3:
La6AlZn3 after structural relaxation. Source: Alexandria, functional PBE-GGA.

a b c (Å): 9.5302 5.2859 11.7564
angles (deg): 90.00 105.89 90.00
Positions (direct):
La 0.0162 0.2500 0.4060
La 0.1454 0.7500 0.1806
La 0.2376 0.2500 0.9949
La 0.3462 0.7500 0.8271
La 0.3837 0.2500 0.3477
La 0.3932 0.2500 0.6160
La 0.6068 0.7500 0.3840
La 0.6163 0.7500 0.6523
La 0.6538 0.2500 0.1729
La 0.7624 0.7500 0.0051
La 0.8546 0.2500 0.8194
La 0.9838 0.7500 0.5940
Al 0.4498 0.7500 0.1114
Al 0.5502 0.2500 0.8886
Zn 0.0346 0.7500 0.8790
Zn 0.1243 0.2500 0.7179
Zn 0.2679 0.7500 0.4684
Zn 0.7321 0.2500 0.5316
Zn 0.8757 0.7500 0.2821
Zn 0.9654 0.2500 0.1210

=====

Entry 4:
La2Al5Zn3 after structural relaxation. Source: Alexandria, functional PBE-GGA.

a b c (Å): 8.7401 8.7401 8.7401
angles (deg): 102.49 91.49 139.27
Positions (direct):
La 0.1263 0.2476 0.3740
La 0.3737 0.7476 0.1213
La 0.6263 0.2524 0.8787
La 0.8737 0.7524 0.6260
Al 0.0063 0.7500 0.2563
Al 0.1227 0.8658 0.9885
Al 0.2500 0.7500 0.5000
Al 0.3773 0.3658 0.7430
Al 0.4937 0.7500 0.7437
Al 0.5063 0.2500 0.2563
Al 0.6227 0.6342 0.2570
Al 0.7500 0.2500 0.5000
Al 0.8773 0.1342 0.0115
Al 0.9937 0.2500 0.7437
Zn 0.1220 0.6373 0.7593
Zn 0.2500 0.2500 0.0000
Zn 0.3780 0.1373 0.5153
Zn 0.6220 0.8627 0.4847
Zn 0.7500 0.7500 0.0000
Zn 0.8780 0.3627 0.2407

=====

Entry 5:
LaAlZn after structural relaxation. Source: Alexandria, functional PBE-GGA.

a b c (Å): 10.7593 4.6756 7.7150
angles (deg): 90.00 133.99 90.00
Positions (direct):
La 0.0407 0.0000 0.2940
La 0.4593 0.5000 0.7060
La 0.5407 0.5000 0.2940
La 0.9593 0.0000 0.7060
Al 0.1621 0.5000 0.1036
Al 0.3379 0.0000 0.8964
Al 0.6621 0.0000 0.1036
Al 0.8379 0.5000 0.8964
Zn 0.1644 0.5000 0.7252
Zn 0.3356 0.0000 0.2748
Zn 0.6644 0.0000 0.7252
Zn 0.8356 0.5000 0.2748

=====

Entry 6:
LaAlZn after structural relaxation. Source: Alexandria, functional PBE-GGA.

a b c (Å): 4.6264 3.8654 8.0236
angles (deg): 90.00 90.00 90.00
Positions (direct):
La 0.2500 0.0000 0.2473
La 0.7500 0.0000 0.7527
Al 0.2500 0.5000 0.5855
Al 0.7500 0.5000 0.4145
Zn 0.2500 0.5000 0.9185
Zn 0.7500 0.5000 0.0815

=====

Entry 7:
LaAlZn after structural relaxation. Source: Alexandria, functional PBE-GGA.

a b c (Å): 6.7242 6.7242 6.7242
angles (deg): 90.00 90.00 90.00
Positions (direct):
La 0.0000 0.0000 0.0000
La 0.0000 0.5000 0.5000
La 0.5000 0.0000 0.5000
La 0.5000 0.5000 0.0000
Al 0.0000 0.0000 0.5000
Al 0.0000 0.5000 0.0000
Al 0.5000 0.0000 0.0000
Al 0.5000 0.5000 0.5000
Zn 0.2500 0.2500 0.2500
Zn 0.2500 0.7500 0.7500
Zn 0.7500 0.2500 0.7500
Zn 0.7500 0.7500 0.2500

=====

Entry 8:
La2AlZn after structural relaxation. Source: Alexandria, functional PBE-GGA.

a b c (Å): 3.8121 3.8121 28.0918
angles (deg): 90.00 90.00 120.00
Positions (direct):
La 0.0000 0.0000 0.2492
La 0.0000 0.0000 0.7508
La 0.3333 0.6667 0.4175
La 0.3333 0.6667 0.9159
La 0.6667 0.3333 0.0841
La 0.6667 0.3333 0.5825
Al 0.0000 0.0000 0.5000
Al 0.3333 0.6667 0.1667
Al 0.6667 0.3333 0.8333
Zn 0.0000 0.0000 0.0000
Zn 0.3333 0.6667 0.6667
Zn 0.6667 0.3333 0.3333

=====

Entry 9:
LaAlZn2 after structural relaxation. Source: Alexandria, functional PBE-GGA.

a b c (Å): 3.2962 4.5552 5.9303
angles (deg): 90.00 90.00 90.00
Positions (direct):
La 0.0000 0.0000 0.0000
Al 0.5000 0.0000 0.5000
Zn 0.5000 0.5000 0.2684
Zn 0.5000 0.5000 0.7316

=====

Entry 10:
LaAl2Zn10 after structural relaxation. Source: Alexandria, functional PBE-GGA.

a b c (Å): 9.0357 6.9235 6.9174
angles (deg): 81.51 49.27 49.22
Positions (direct):
La 0.0000 0.0000 0.0000
Al 0.0000 0.0000 0.5000
Al 0.5000 0.5000 0.0000
Zn 0.0000 0.5000 0.0000
Zn 0.0007 0.3569 0.6431
Zn 0.2783 0.4970 0.5030
Zn 0.3569 0.0007 0.9993
Zn 0.4970 0.2783 0.7217
Zn 0.5000 0.0000 0.5000
Zn 0.5030 0.7217 0.2783
Zn 0.6431 0.9993 0.0007
Zn 0.7217 0.5030 0.4970
Zn 0.9993 0.6431 0.3569

=====

Entry 11:
LaAl2Zn2 after structural relaxation. Source: Alexandria, functional PBE-GGA.

a b c (Å): 4.3251 4.3251 10.7793
angles (deg): 90.00 90.00 90.00
Positions (direct):
La 0.2500 0.2500 0.2478
La 0.7500 0.7500 0.7522
Al 0.2500 0.2500 0.8686
Al 0.2500 0.7500 0.5000
Al 0.7500 0.2500 0.5000
Al 0.7500 0.7500 0.1314
Zn 0.2500 0.2500 0.6361
Zn 0.2500 0.7500 0.0000
Zn 0.7500 0.2500 0.0000
Zn 0.7500 0.7500 0.3639

=====

Entry 12:
LaAlZn2 after structural relaxation. Source: Alexandria, functional PBE-GGA.

a b c (Å): 6.3020 10.0006 2.9169
angles (deg): 90.00 109.73 90.00
Positions (direct):
La 0.0000 0.0000 0.0000
La 0.5000 0.5000 0.0000
Al 0.0000 0.5000 0.0000
Al 0.5000 0.0000 0.0000
Zn 0.2500 0.2500 0.5000
Zn 0.2500 0.7500 0.5000
Zn 0.7500 0.2500 0.5000
Zn 0.7500 0.7500 0.5000

=====

Entry 13:
LaAlZn after structural relaxation. Source: Alexandria, functional PBE-GGA.

a b c (Å): 4.7220 7.6479 7.7277
angles (deg): 90.00 90.00 90.00
Positions (direct):
La 0.2500 0.2087 0.0000
La 0.2500 0.2913 0.5000
La 0.7500 0.7087 0.5000
La 0.7500 0.7913 0.0000
Al 0.2500 0.5894 0.8056
Al 0.2500 0.9106 0.3056
Al 0.7500 0.0894 0.3056
Al 0.7500 0.4106 0.8056
Zn 0.2500 0.5852 0.1848
Zn 0.2500 0.9148 0.6848
Zn 0.7500 0.0852 0.6848
Zn 0.7500 0.4148 0.1848

=====

Entry 14:
LaAl2Zn2 after structural relaxation. Source: Alexandria, functional PBE-GGA.

a b c (Å): 6.2708 6.2690 4.2725
angles (deg): 70.10 70.06 39.84
Positions (direct):
La 0.0000 0.0000 0.0000
Al 0.2500 0.2500 0.2500
Al 0.7500 0.7500 0.7500
Zn 0.3867 0.3867 0.6133
Zn 0.6133 0.6133 0.3867

=====

Entry 15:
La2AlZn9 after structural relaxation. Source: Alexandria, functional PBE-GGA.

a b c (Å): 9.1268 9.1268 9.1268
angles (deg): 35.90 35.90 35.90
Positions (direct):
La 0.1392 0.1392 0.1392
La 0.8608 0.8608 0.8608
Al 0.0000 0.0000 0.0000
Zn 0.0768 0.5818 0.5818
Zn 0.3343 0.3343 0.3343
Zn 0.4182 0.4182 0.9232
Zn 0.4182 0.9232 0.4182
Zn 0.5000 0.5000 0.5000
Zn 0.5818 0.0768 0.5818
Zn 0.5818 0.5818 0.0768
Zn 0.6657 0.6657 0.6657
Zn 0.9232 0.4182 0.4182

=====

Entry 16:
La2AlZn after structural relaxation. Source: Alexandria, functional PBE-GGA.

a b c (Å): 3.8503 5.1163 10.5749
angles (deg): 90.00 90.00 90.00
Positions (direct):
La 0.0000 0.0000 0.0000
La 0.0000 0.5000 0.2121
La 0.5000 0.0000 0.7121
La 0.5000 0.5000 0.5000
Al 0.0000 0.5000 0.7791
Al 0.5000 0.0000 0.2791
Zn 0.0000 0.0000 0.4460
Zn 0.5000 0.5000 0.9460

=====

Entry 17:
La2Al2Zn after structural relaxation. Source: Alexandria, functional PBE-GGA.

a b c (Å): 5.9822 5.9822 11.2043
angles (deg): 116.31 116.31 46.60
Positions (direct):
La 0.0161 0.0161 0.3329
La 0.1813 0.1813 0.0917
La 0.8187 0.8187 0.9083
La 0.9839 0.9839 0.6671
Al 0.3586 0.3586 0.4406
Al 0.4956 0.4956 0.1211
Al 0.5044 0.5044 0.8789
Al 0.6414 0.6414 0.5594
Zn 0.2718 0.2718 0.6462
Zn 0.7282 0.7282 0.3538

=====

Entry 18:
La2AlZn3 after structural relaxation. Source: Alexandria, functional PBE-GGA.

a b c (Å): 4.0795 4.4756 15.9164
angles (deg): 90.00 90.00 90.00
Positions (direct):
La 0.0000 0.0000 0.0000
La 0.0000 0.5000 0.2492
La 0.5000 0.0000 0.7492
La 0.5000 0.5000 0.5000
Al 0.0000 0.0000 0.5843
Al 0.5000 0.5000 0.0843
Zn 0.0000 0.0000 0.4192
Zn 0.0000 0.5000 0.6651
Zn 0.0000 0.5000 0.8286
Zn 0.5000 0.0000 0.1651
Zn 0.5000 0.0000 0.3286
Zn 0.5000 0.5000 0.9192

=====

Entry 19:
LaAlZn after structural relaxation. Source: Alexandria, functional PBE-GGA.

a b c (Å): 4.6333 4.6333 3.8573
angles (deg): 90.00 90.00 120.00
Positions (direct):
La 0.0000 0.0000 0.0000
Al 0.3333 0.6667 0.5000
Zn 0.6667 0.3333 0.5000

=====

Entry 20:
LaAlZn after structural relaxation. Source: Alexandria, functional PBE-GGA.

a b c (Å): 4.6853 7.7514 7.6592
angles (deg): 90.00 90.00 90.00
Positions (direct):
La 0.0000 0.0000 0.0000
La 0.0000 0.5000 0.0834
La 0.5000 0.0000 0.5834
La 0.5000 0.5000 0.5000
Al 0.0000 0.3097 0.7013
Al 0.0000 0.6903 0.7013
Al 0.5000 0.1903 0.2013
Al 0.5000 0.8097 0.2013
Zn 0.0000 0.1911 0.3758
Zn 0.0000 0.8089 0.3758
Zn 0.5000 0.3089 0.8758
Zn 0.5000 0.6911 0.8758

=====

Entry 21:
La2Al3Zn2 after structural relaxation. Source: Alexandria, functional PBE-GGA.

a b c (Å): 10.0451 10.0451 7.1689
angles (deg): 90.00 90.00 153.57
Positions (direct):
La 0.0497 0.9503 0.7500
La 0.1628 0.8372 0.2500
La 0.8372 0.1628 0.7500
La 0.9503 0.0497 0.2500
Al 0.2217 0.7783 0.7500
Al 0.4398 0.5602 0.5721
Al 0.4398 0.5602 0.9279
Al 0.5602 0.4398 0.0721
Al 0.5602 0.4398 0.4279
Al 0.7783 0.2217 0.2500
Zn 0.3176 0.6824 0.0672
Zn 0.3176 0.6824 0.4328
Zn 0.6824 0.3176 0.5672
Zn 0.6824 0.3176 0.9328

=====

Entry 22:
LaAlZn3 after structural relaxation. Source: Alexandria, functional PBE-GGA.

a b c (Å): 4.8220 4.8220 4.8220
angles (deg): 90.00 90.00 90.00
Positions (direct):
La 0.0000 0.0000 0.0000
Al 0.5000 0.5000 0.5000
Zn 0.0000 0.5000 0.5000
Zn 0.5000 0.0000 0.5000
Zn 0.5000 0.5000 0.0000

=====

Entry 23:
La3Al2Zn9 after structural relaxation. Source: Alexandria, functional PBE-GGA.

a b c (Å): 8.4832 8.4832 8.4832
angles (deg): 148.51 117.46 71.71
Positions (direct):
La 0.0000 0.0000 0.0000
La 0.2877 0.2877 0.0000
La 0.7123 0.7123 0.0000
Al 0.3246 0.5000 0.8246
Al 0.6754 0.5000 0.1754
Zn 0.0090 0.6514 0.3575
Zn 0.1455 0.8584 0.2871
Zn 0.2939 0.6514 0.6425
Zn 0.4288 0.1416 0.2871
Zn 0.5000 0.0000 0.5000
Zn 0.5712 0.8584 0.7129
Zn 0.7061 0.3486 0.3575
Zn 0.8545 0.1416 0.7129
Zn 0.9910 0.3486 0.6425

=====

Entry 24:
La3AlZn2 after structural relaxation. Source: Alexandria, functional PBE-GGA.

a b c (Å): 3.7485 3.7485 11.4709
angles (deg): 90.00 90.00 90.00
Positions (direct):
La 0.0000 0.0000 0.0000
La 0.0000 0.0000 0.3318
La 0.0000 0.0000 0.6682
Al 0.5000 0.5000 0.5000
Zn 0.5000 0.5000 0.1638
Zn 0.5000 0.5000 0.8362

=====

How do the records compare in energy relative to the elements? In the order shown, they have -0.3265, -0.3725, -0.2379, -0.4421, -0.4390, -0.4053, -0.3237, -0.0853, -0.1692, -0.1760, -0.4370, 0.0510, -0.4347, -0.4521, -0.0873, -0.3263, -0.4046, -0.3408, -0.4082, -0.4377, -0.4045, 0.0166, -0.3422, -0.3264 eV/atom.
How do the records compare in uncorrected energy? In the order shown, they have -0.141, -0.136, -0.145, -0.135, -0.138, -0.137, -0.134, -0.140, -0.109, -0.078, -0.126, -0.101, -0.138, -0.127, -0.080, -0.149, -0.152, -0.119, -0.137, -0.138, -0.139, -0.091, -0.101, -0.141 hartree per atom.